Entry 1:
First-principles (PBE) data for HgH4Pd12 after structural relaxation, as listed in the Alexandria database.

Structure (CIF):
```
data_HgH4Pd12
_chemical_formula_sum 'Hg2 H8 Pd24'
_cell_length_a 7.640
_cell_length_b 7.640
_cell_length_c 7.640
_cell_angle_alpha 90.00
_cell_angle_beta 90.00
_cell_angle_gamma 90.00
_space_group_name_H-M_alt 'I m -3'
_space_group_IT_number 204
_space_group_name_Hall '-I 2 2 3'
loop_
_atom_site_label
_atom_site_fract_x
_atom_site_fract_y
_atom_site_fract_z
Hg1 0.000 0.000 0.000
H1 0.250 0.250 0.250
Pd1 0.000 0.187 0.315
```

mass density = 11.04 g cm⁻³
D(E_F) = 31.8 states/eV per cell
VASP energy = -151.03 eV for the cell shown

Entry 2:
First-principles (PBE) data for HgHPd3 after structural relaxation, as listed in the Alexandria database.

Structure (CIF):
```
data_HgHPd3
_chemical_formula_sum 'Hg4 H4 Pd12'
_cell_length_a 7.903
_cell_length_b 4.876
_cell_length_c 8.968
_cell_angle_alpha 90.00
_cell_angle_beta 120.10
_cell_angle_gamma 90.00
_space_group_name_H-M_alt 'P 1 21/c 1'
_space_group_IT_number 14
loop_
_space_group_symop_operation_xyz
'x,y,z'
'-x,-y,-z'
'-x,y+1/2,-z+1/2'
'x,-y+1/2,z+1/2'
loop_
_atom_site_label
_atom_site_fract_x
_atom_site_fract_y
_atom_site_fract_z
Hg1 0.130 0.238 0.056
H1 0.453 0.734 0.997
Pd1 0.107 0.577 0.802
Pd2 0.313 0.049 0.882
Pd3 0.493 0.533 0.835
```

mass density = 11.57 g cm⁻³
D(E_F) = 8.7 states/eV per cell
VASP energy = -77.53 eV for the cell shown

Entry 3:
First-principles (PBE) data for Hg2H5Pd4 after structural relaxation, as listed in the Alexandria database.

Structure (CIF):
```
data_Hg2H5Pd4
_chemical_formula_sum 'Hg2 H5 Pd4'
_cell_length_a 3.100
_cell_length_b 3.036
_cell_length_c 13.837
_cell_angle_alpha 90.00
_cell_angle_beta 95.73
_cell_angle_gamma 90.00
_space_group_name_H-M_alt 'P 1 m 1'
_space_group_IT_number 6
loop_
_space_group_symop_operation_xyz
'x,y,z'
'x,-y,z'
loop_
_atom_site_label
_atom_site_fract_x
_atom_site_fract_y
_atom_site_fract_z
Hg1 0.000 0.000 0.000
Hg2 0.087 0.500 0.186
H1 0.365 0.500 0.738
H2 0.449 0.500 0.887
H3 0.637 0.000 0.300
H4 0.727 0.000 0.446
H5 0.790 0.000 0.596
Pd1 0.258 0.000 0.519
Pd2 0.416 0.000 0.824
Pd3 0.671 0.500 0.363
Pd4 0.836 0.500 0.670
```

mass density = 10.66 g cm⁻³
D(E_F) = 3.1 states/eV per cell
VASP energy = -38.10 eV for the cell shown

Number 2 is which compound?
HgHPd3

What is the VASP energy in the third record?
-38.10 eV for the cell shown

Which of these has the lowest VASP energy?
HgH4Pd12

Look up the D(E_F) of the second one.
8.7 states/eV per cell